Entry 1:
DFT (GGA-PBE) results for a relaxed Tm2SI crystal.

a = 3.8341 Å, b = 3.8341 Å, c = 8.0410 Å
α = 76.21°, β = 76.21°, γ = 60.00°
Element x y z (fractional)
I 0.5000 0.5000 0.5000
S 0.0000 0.0000 0.0000
Tm 0.2709 0.2709 0.1874
Tm 0.7291 0.7291 0.8126

Electronic total energy (eV/atom): -4.88
ΔE_f (raw) (eV/atom): -1.223
V (Å³/cell): 98


Entry 2:
DFT (GGA-PBE) results for a relaxed UTa2RuC4 crystal.

a = 3.2188 Å, b = 5.8407 Å, c = 10.9657 Å
α = 90.00°, β = 90.00°, γ = 105.99°
Element x y z (fractional)
U 0.1110 0.2220 0.7500
U 0.8890 0.7780 0.2500
Ta 0.3717 0.7433 0.5422
Ta 0.6283 0.2567 0.0422
Ta 0.6283 0.2567 0.4578
Ta 0.3717 0.7433 0.9578
Ru 0.8510 0.7019 0.7500
Ru 0.1490 0.2981 0.2500
C 0.2716 0.5432 0.1194
C 0.7284 0.4568 0.6194
C 0.7284 0.4568 0.8806
C 0.2716 0.5432 0.3806
C 0.0000 0.0000 0.5000
C 0.0000 0.0000 0.0000
C 0.4550 0.9100 0.7500
C 0.5450 0.0900 0.2500

E_form (kJ/mol of atoms): -17
Electronic total energy (eV/atom): -10.32
V (Å³/cell): 198